PrSm2Th after structural relaxation, computed with PBE.

Cell: 5.1439 5.1439 5.1194 Å, 90.00 90.00 90.00°
Last column: nearest neighbours and their distance in Å.
Space group P4/mmm (No. 123)
Asymmetric unit:
Pr (0.0000, 0.0000, 0.0000) [1 per cell]  8 Sm 3.63, 4 Th 3.64
Sm (0.0000, 0.5000, 0.5000) [2 per cell]  4 Th 3.63, 4 Pr 3.63, 4 Sm 3.64
Th (0.5000, 0.5000, 0.0000) [1 per cell]  8 Sm 3.63, 4 Pr 3.64

Values from the calculation:
- Relative energy among the computed polymorphs: 0.040 eV/atom
- ρ: 8.3 g cm⁻³
- DOS(E_F): 4.9 states/eV per cell